(1)
Compound: Tl3HgCl6
Source: the Alexandria database
Functional: GGA-PBE
Structure: optimized geometry

Properties
Formation energy without anion corrections   -0.79 eV per atom
Total DFT energy (no corrections)   -2.640 eV per atom

Lattice parameters (Å, degrees): 7.6071 7.6590 7.5491 120.02 120.25 90.00
Fractional coordinates of all 10 atoms:
Cl: 0.7429 0.8340 0.4858
Cl: 0.2571 0.1660 0.5142
Cl: 0.3068 0.3067 0.1035
Cl: 0.7967 0.3067 0.1035
Cl: 0.6932 0.6933 0.8965
Cl: 0.2033 0.6933 0.8965
Tl: 0.2481 0.7238 0.4961
Tl: 0.7519 0.2762 0.5039
Tl: 0.0000 0.0000 0.0000
Hg: 0.5000 0.5000 0.0000

(2)
Compound: Tl4HgCl5
Source: the Alexandria database
Functional: GGA-PBE
Structure: optimized geometry

Properties
Formation energy without anion corrections   -0.83 eV per atom
Total DFT energy (no corrections)   -2.735 eV per atom

Lattice parameters (Å, degrees): 6.3311 7.8812 7.8812 80.72 66.32 66.32
Fractional coordinates of all 10 atoms:
Tl: 0.8013 0.7972 0.6015
Tl: 0.2000 0.2028 0.3985
Tl: 0.5985 0.6015 0.2028
Tl: 0.4028 0.3985 0.7972
Cl: 0.2919 0.8097 0.6077
Cl: 0.7093 0.1903 0.3923
Cl: 0.5038 0.0000 0.0000
Cl: 0.8996 0.3923 0.8097
Cl: 0.1016 0.6077 0.1903
Hg: 0.0014 0.0000 0.0000

(3)
Compound: Tl2HgCl8
Source: the Alexandria database
Functional: GGA-PBE
Structure: optimized geometry

Properties
Formation energy without anion corrections   -0.63 eV per atom
Total DFT energy (no corrections)   -2.432 eV per atom

Lattice parameters (Å, degrees): 9.1835 10.0310 10.7129 79.22 64.62 62.76
Fractional coordinates of all 22 atoms:
Cl: 0.9446 0.2403 0.9939
Cl: 0.1788 0.2597 0.5061
Cl: 0.0554 0.7597 0.0061
Cl: 0.1109 0.9703 0.2440
Cl: 0.3625 0.9537 0.7688
Cl: 0.6749 0.4703 0.7440
Cl: 0.5912 0.2954 0.5056
Cl: 0.6077 0.7954 0.0056
Cl: 0.3923 0.2046 0.9944
Cl: 0.8212 0.7403 0.4939
Cl: 0.6375 0.0463 0.2312
Cl: 0.3251 0.5297 0.2560
Cl: 0.4088 0.7046 0.4944
Cl: 0.8891 0.0297 0.7560
Cl: 0.9150 0.4537 0.2688
Cl: 0.0850 0.5463 0.7312
Tl: 0.7035 0.5069 0.5066
Tl: 0.7169 0.9931 0.9934
Tl: 0.2965 0.4931 0.4934
Tl: 0.2831 0.0069 0.0066
Hg: 0.9530 0.7500 0.2500
Hg: 0.0470 0.2500 0.7500

(4)
Compound: TlHg2Cl
Source: the Alexandria database
Functional: GGA-PBE
Structure: optimized geometry

Properties
Formation energy without anion corrections   -0.44 eV per atom
Total DFT energy (no corrections)   -1.645 eV per atom

Lattice parameters (Å, degrees): 4.3475 4.4819 7.0474 71.75 90.00 90.00
Fractional coordinates of all 4 atoms:
Tl: 0.0000 0.2722 0.5855
Hg: 0.5000 0.4780 0.1656
Hg: 0.0000 0.0221 0.0752
Cl: 0.5000 0.7277 0.6737

(5)
Compound: TlHg2Cl5
Source: the Alexandria database
Functional: GGA-PBE
Structure: optimized geometry

Properties
Formation energy without anion corrections   -0.68 eV per atom
Total DFT energy (no corrections)   -2.202 eV per atom

Lattice parameters (Å, degrees): 6.3513 6.8113 14.4316 90.00 90.00 117.79
Fractional coordinates of all 16 atoms:
Cl: 0.9757 0.9515 0.8772
Cl: 0.3273 0.6547 0.4743
Cl: 0.9757 0.9515 0.6228
Cl: 0.2537 0.5074 0.7500
Cl: 0.3273 0.6547 0.0257
Cl: 0.6727 0.3453 0.5257
Cl: 0.6727 0.3453 0.9743
Cl: 0.7463 0.4926 0.2500
Cl: 0.0243 0.0485 0.3772
Cl: 0.0243 0.0485 0.1228
Hg: 0.8392 0.6784 0.4346
Hg: 0.8392 0.6784 0.0654
Hg: 0.1608 0.3216 0.5654
Hg: 0.1608 0.3216 0.9346
Tl: 0.7687 0.5374 0.7500
Tl: 0.2313 0.4626 0.2500

(6)
Compound: TlHg2Cl2
Source: the Alexandria database
Functional: GGA-PBE
Structure: optimized geometry

Properties
Formation energy without anion corrections   -0.42 eV per atom
Total DFT energy (no corrections)   -1.755 eV per atom

Lattice parameters (Å, degrees): 5.7866 5.7866 6.1701 62.04 62.04 90.00
Fractional coordinates of all 5 atoms:
Tl: 0.0000 0.0000 0.0000
Hg: 0.3510 0.3510 0.2979
Hg: 0.6490 0.6490 0.7021
Cl: 0.7500 0.2500 0.5000
Cl: 0.2500 0.7500 0.5000

(7)
Compound: Tl4Hg2Cl9
Source: the Alexandria database
Functional: GGA-PBE
Structure: optimized geometry

Properties
Formation energy without anion corrections   -0.77 eV per atom
Total DFT energy (no corrections)   -2.548 eV per atom

Lattice parameters (Å, degrees): 7.4490 7.8361 20.9935 86.49 93.79 57.83
Last column: magnetic moment on the atom in μB.
Fractional coordinates of all 30 atoms:
Hg: 0.0341 0.0567 0.6687  0.00
Hg: 0.0618 0.9399 0.1237  0.01
Hg: 0.9659 0.9433 0.3313  0.00
Hg: 0.9382 0.0601 0.8763  0.01
Tl: 0.6621 0.7223 0.8047  0.00
Tl: 0.6613 0.6687 0.0268  0.00
Tl: 0.6651 0.6308 0.3269  0.11
Tl: 0.3349 0.3692 0.6731  0.11
Tl: 0.3387 0.3313 0.9732  0.00
Tl: 0.6665 0.6822 0.5260  0.00
Tl: 0.3379 0.2777 0.1953  0.00
Tl: 0.3335 0.3178 0.4740  0.00
Cl: 0.3535 0.0480 0.6078  0.03
Cl: 0.7022 0.1151 0.7696  0.03
Cl: 0.9207 0.7580 0.9241  0.00
Cl: 0.2916 0.7237 0.4065  0.02
Cl: 0.7084 0.2763 0.5935  0.02
Cl: 0.9664 0.6586 0.2630  0.04
Cl: 0.0793 0.2420 0.0759  0.00
Cl: 0.3067 0.9833 0.9004  0.00
Cl: 0.0871 0.6449 0.5691  0.05
Cl: 0.6933 0.0167 0.0996  0.00
Cl: 0.2529 0.7297 0.7368  0.02
Cl: 0.7471 0.2703 0.2632  0.02
Cl: 0.6752 0.4067 0.9131  0.00
Cl: 0.6465 0.9520 0.3922  0.03
Cl: 0.3248 0.5933 0.0869  0.00
Cl: 0.9129 0.3551 0.4309  0.05
Cl: 0.0336 0.3414 0.7370  0.04
Cl: 0.2978 0.8849 0.2304  0.03

(8)
Compound: Tl2HgCl6
Source: the Alexandria database
Functional: GGA-PBE
Structure: optimized geometry

Properties
Formation energy without anion corrections   -0.63 eV per atom
Total DFT energy (no corrections)   -2.425 eV per atom

Lattice parameters (Å, degrees): 10.0773 8.3591 8.3591 75.51 73.60 73.60
Fractional coordinates of all 18 atoms:
Tl: 0.7633 0.7284 0.6768
Tl: 0.2367 0.2716 0.3232
Tl: 0.7367 0.3232 0.2716
Tl: 0.2633 0.6768 0.7284
Cl: 0.4564 0.3915 0.3096
Cl: 0.3604 0.9670 0.2181
Cl: 0.5436 0.6085 0.6904
Cl: 0.0436 0.6904 0.6085
Cl: 0.2123 0.3562 0.9662
Cl: 0.7123 0.9662 0.3562
Cl: 0.7877 0.6438 0.0338
Cl: 0.1396 0.7819 0.0330
Cl: 0.2877 0.0338 0.6438
Cl: 0.9564 0.3096 0.3915
Cl: 0.8604 0.2181 0.9670
Cl: 0.6396 0.0330 0.7819
Hg: 0.2500 0.0430 0.9570
Hg: 0.7500 0.9570 0.0430

(9)
Compound: Tl5Hg2Cl12
Source: the Alexandria database
Functional: GGA-PBE
Structure: optimized geometry

Properties
Formation energy without anion corrections   -0.74 eV per atom
Total DFT energy (no corrections)   -2.557 eV per atom

Lattice parameters (Å, degrees): 8.1631 9.1488 9.2743 107.11 90.00 116.50
Fractional coordinates of all 19 atoms:
Cl: 0.1007 0.7536 0.4266
Cl: 0.5043 0.0086 0.2104
Cl: 0.4957 0.9914 0.7896
Cl: 0.5772 0.6707 0.9146
Cl: 0.0070 0.0141 0.2120
Cl: 0.4228 0.3293 0.0854
Cl: 0.0935 0.6707 0.9146
Cl: 0.8993 0.2464 0.5734
Cl: 0.9065 0.3293 0.0854
Cl: 0.3471 0.2464 0.5734
Cl: 0.9930 0.9859 0.7880
Cl: 0.6529 0.7536 0.4266
Hg: 0.2518 0.0000 0.0000
Hg: 0.7482 0.0000 0.0000
Tl: 0.6820 0.3640 0.8320
Tl: 0.0000 0.0000 0.5000
Tl: 0.2958 0.5917 0.6266
Tl: 0.3180 0.6360 0.1680
Tl: 0.7042 0.4083 0.3734

(10)
Compound: TlHg2Cl
Source: the Alexandria database
Functional: GGA-PBE
Structure: optimized geometry

Properties
Formation energy without anion corrections   -0.39 eV per atom
Total DFT energy (no corrections)   -1.592 eV per atom

Lattice parameters (Å, degrees): 5.5430 5.5430 5.5430 120.26 120.26 89.55
Fractional coordinates of all 4 atoms:
Hg: 0.2500 0.7500 0.5000
Hg: 0.0000 0.0000 0.0000
Tl: 0.5000 0.5000 0.0000
Cl: 0.7500 0.2500 0.5000